NpBiBrO6 | GGA-PBE | optimized geometry

POSCAR file:
```
NpBiBrO6
1.0
8.5238 0.0000 0.0000
0.0000 8.0818 0.0000
-4.2619 -4.0409 5.4655
O Bi Br Np
12 2 2 2
Direct
0.5502 0.9392 0.7655
0.5502 0.3264 0.7655
0.2154 0.3264 0.7655
0.8430 0.0930 0.6860
0.1570 0.9070 0.3140
0.4498 0.0608 0.2345
0.4485 0.6985 0.8971
0.5515 0.3015 0.1029
0.2154 0.9392 0.7655
0.4498 0.6736 0.2345
0.7846 0.0608 0.2345
0.7846 0.6736 0.2345
0.0000 0.0000 0.5000
0.5000 0.0000 0.5000
0.9886 0.7386 0.9772
0.0114 0.2614 0.0228
0.5000 0.0000 0.0000
0.5000 0.5000 0.0000
```

Summary:
Crystal system ... orthorhombic
Electronic total energy ... -123.1 eV/cell
Space group ... No. 74
E_form (uncorrected) ... -1480.0 meV per atom

TmMnNiP2 | GGA-PBE | optimized geometry

POSCAR file:
```
TmMnNiP2
1.0
-3.2371 1.8487 0.6994
-1.7688 -3.3084 0.5582
3.6209 0.9202 4.0420
Mn P Tm Ni
1 2 1 1
Direct
0.2500 0.7500 0.5000
0.6235 0.6235 0.2471
0.3765 0.3765 0.7529
0.0000 0.0000 0.0000
0.7500 0.2500 0.5000
```

Summary:
Crystal system ... tetragonal
DFT formation energy ... -0.920 eV per atom
Electronic total energy ... -34.8 eV/cell
Space group ... No. 119

LiB4C4 | GGA-PBE | optimized geometry

POSCAR file:
```
LiB4C4
1.0
2.7292 0.0000 0.0000
-1.3646 2.3635 0.0000
0.0000 0.0000 12.0406
C B Li
4 4 1
Direct
0.6667 0.3333 0.8914
0.3333 0.6667 0.1654
0.6667 0.3333 0.3346
0.3333 0.6667 0.6086
0.6667 0.3333 0.6044
0.3333 0.6667 0.8956
0.3333 0.6667 0.3316
0.6667 0.3333 0.1684
0.0000 0.0000 0.7500
```

Summary:
Crystal system ... trigonal
DFT formation energy ... 0.202 eV per atom
Electronic total energy ... -63.7 eV/cell
Space group ... No. 164
Distance to the lowest polymorph of the same formula ... 1.01 eV per formula unit

Al2CoHg | GGA-PBE | optimized geometry

POSCAR file:
```
Al2CoHg
1.0
4.7588 0.0000 0.0000
1.4320 4.5382 0.0000
-3.0954 -2.2691 2.8135
Al Co Hg
2 1 1
Direct
0.5000 0.5000 0.0000
0.0000 0.0000 0.0000
0.2500 0.7500 0.5000
0.7500 0.2500 0.5000
```

Summary:
Crystal system ... tetragonal
DFT formation energy ... 0.064 eV per atom
Electronic total energy ... -14.6 eV/cell
Space group ... No. 139
Distance to the lowest polymorph of the same formula ... 1.09 eV per formula unit

Pm6Sm2Er | GGA-PBE | optimized geometry

POSCAR file:
```
Pm6Sm2Er
1.0
-2.7125 -6.1491 0.0643
4.2380 -3.8077 -7.9215
5.7631 -4.3289 6.5770
Sm Pm Er
4 12 2
Direct
0.3698 0.3311 0.3783
0.8698 0.3783 0.3311
0.6302 0.6689 0.6217
0.1302 0.6217 0.6689
0.8188 0.9614 0.7770
0.3188 0.7770 0.9614
0.7784 0.5376 0.9411
0.6812 0.2230 0.0386
0.0063 0.2799 0.6482
0.4937 0.3518 0.7201
0.7216 0.0589 0.4624
0.9937 0.7201 0.3518
0.5063 0.6482 0.2799
0.2784 0.9411 0.5376
0.1812 0.0386 0.2230
0.2216 0.4624 0.0589
0.2500 0.1177 0.8823
0.7500 0.8823 0.1177
```

Summary:
Crystal system ... monoclinic
DFT formation energy ... 0.114 eV per atom
Electronic total energy ... -83.0 eV/cell
Space group ... No. 15
Distance to the lowest polymorph of the same formula ... 0.00 eV per formula unit

YO3F | GGA-PBE | optimized geometry

POSCAR file:
```
YO3F
1.0
-3.2540 -2.0089 -2.1723
2.9578 -2.1219 -2.4683
0.0794 -3.2871 2.9210
F Y O
1 1 3
Direct
0.5000 0.5000 0.5000
0.0000 0.0000 0.0000
0.0000 0.0000 0.5000
0.0000 0.5000 0.0000
0.5000 0.0000 0.0000
```

Summary:
Crystal system ... cubic
Electronic total energy ... -27.5 eV/cell
Space group ... No. 221
E_form (uncorrected) ... -865.3 meV per atom

NaNbTc2Sn | GGA-PBE | optimized geometry

POSCAR file:
```
NaNbTc2Sn
1.0
4.5894 0.0000 0.0000
0.0000 4.6699 0.0000
0.0000 0.0000 4.5894
Sn Nb Tc Na
1 1 2 1
Direct
0.5000 0.5000 0.5000
0.0000 0.5000 0.0000
0.5000 0.0000 0.0000
0.0000 0.0000 0.5000
0.0000 0.0000 0.0000
```

Summary:
Crystal system ... tetragonal
DFT formation energy ... 2.015 eV per atom
Electronic total energy ... -26.0 eV/cell
Space group ... No. 123

Ac2Pr2AlGe4 | GGA-PBE | optimized geometry

POSCAR file:
```
Ac2Pr2AlGe4
1.0
6.8983 0.1802 0.2601
-3.1533 6.1381 -0.2601
-3.1533 -2.4000 5.6554
Ac Ge Pr Al
2 4 2 1
Direct
0.5000 0.7500 0.2500
0.5000 0.2500 0.7500
0.0000 0.2448 0.7552
0.4896 0.2448 0.2448
0.0000 0.7552 0.2448
0.5104 0.7552 0.7552
0.0000 0.6827 0.6827
0.0000 0.3173 0.3173
0.0000 0.0000 0.0000
```

Summary:
Crystal system ... tetragonal
DFT formation energy ... -0.353 eV per atom
Electronic total energy ... -43.2 eV/cell
Space group ... No. 139

BaPtS2 | GGA-PBE | optimized geometry

POSCAR file:
```
BaPtS2
1.0
0.6637 3.2782 3.7036
-3.8359 2.7567 1.6094
-1.9896 -0.8741 4.4924
Pt S Ba
1 2 1
Direct
0.5000 0.5000 0.5000
0.2500 0.2500 0.2500
0.7500 0.7500 0.7500
0.0000 0.0000 0.0000
```

Summary:
Crystal system ... cubic
Electronic total energy ... -17.5 eV/cell
Space group ... No. 225
E_form (uncorrected) ... -310.6 meV per atom

NdEr2Al | GGA-PBE | optimized geometry

POSCAR file:
```
NdEr2Al
1.0
4.7735 0.0000 0.0000
0.0000 4.7911 0.0000
0.0000 0.0000 4.7911
Al Nd Er
1 1 2
Direct
0.5000 0.5000 0.5000
0.5000 0.0000 0.0000
0.0000 0.5000 0.0000
0.0000 0.0000 0.5000
```

Summary:
Crystal system ... tetragonal
DFT formation energy ... -0.172 eV per atom
Electronic total energy ... -18.3 eV/cell
Space group ... No. 123
Distance to the lowest polymorph of the same formula ... 0.11 eV per formula unit

Sm2Zn6Au3 | GGA-PBE | optimized geometry

POSCAR file:
```
Sm2Zn6Au3
1.0
-0.9668 1.9835 3.5159
-7.5644 -0.5900 -1.7472
3.4920 -5.6061 4.1228
Zn Sm Au
6 2 3
Direct
0.0000 0.1894 0.1894
0.0000 0.0000 0.8106
0.0000 0.8106 0.0000
0.5000 0.0000 0.2691
0.5000 0.2691 0.0000
0.5000 0.7309 0.7309
0.0000 0.3333 0.6667
0.0000 0.6667 0.3333
0.5000 0.6017 0.0000
0.5000 0.0000 0.6017
0.5000 0.3983 0.3983
```

Summary:
Crystal system ... hexagonal
DFT formation energy ... -0.412 eV per atom
Electronic total energy ... -31.4 eV/cell
Space group ... No. 189

PuSc3Bi4 | GGA-PBE | optimized geometry

POSCAR file:
```
PuSc3Bi4
1.0
-0.0264 4.0776 1.4759
-7.4264 -0.4264 1.0457
-1.3935 -2.5200 6.9379
Bi Sc Pu
4 3 1
Direct
0.5001 0.7560 0.2560
0.0000 0.2377 0.2624
0.4997 0.2441 0.7440
0.0000 0.7626 0.7375
0.5000 0.0002 0.4999
0.9999 0.5001 0.5000
0.9999 0.0001 0.0000
0.5000 0.5002 0.9999
```

Summary:
Crystal system ... orthorhombic
DFT formation energy ... -0.563 eV per atom
Electronic total energy ... -53.4 eV/cell
Space group ... No. 65

Rb2CdHg2 | GGA-PBE | optimized geometry

POSCAR file:
```
Rb2CdHg2
1.0
4.5850 0.0000 0.0000
0.0000 4.5850 0.0000
2.2925 2.2925 10.4054
Hg Rb Cd
2 2 1
Direct
0.7500 0.2500 0.5000
0.2500 0.7500 0.5000
0.6093 0.6093 0.7815
0.3907 0.3907 0.2185
0.0000 0.0000 0.0000
```

Summary:
Crystal system ... tetragonal
DFT formation energy ... -0.101 eV per atom
Electronic total energy ... -4.0 eV/cell
Space group ... No. 139
Distance to the lowest polymorph of the same formula ... 0.46 eV per formula unit

CaReN2O | GGA-PBE | optimized geometry

POSCAR file:
```
CaReN2O
1.0
3.9211 0.0000 0.0000
0.0000 3.9211 0.0000
0.0000 0.0000 3.9293
N Ca Re O
2 1 1 1
Direct
0.5000 0.0000 0.0000
0.0000 0.5000 0.0000
0.5000 0.5000 0.5000
0.0000 0.0000 0.0000
0.0000 0.0000 0.5000
```

Summary:
Crystal system ... tetragonal
Electronic total energy ... -40.8 eV/cell
Space group ... No. 123
E_form (uncorrected) ... -946.6 meV per atom

LiCdAg2 | GGA-PBE | optimized geometry

POSCAR file:
```
LiCdAg2
1.0
3.0457 0.0000 0.0000
0.0000 4.9844 0.0052
-1.5229 -0.9065 4.7682
Cd Ag Li
1 2 1
Direct
0.5032 0.5060 0.0064
0.2521 0.7488 0.5042
0.9984 0.0104 0.9968
0.7463 0.2347 0.4927
```

Summary:
Crystal system ... monoclinic
DFT formation energy ... -0.146 eV per atom
Electronic total energy ... -9.1 eV/cell
Space group ... No. 8

NaAc2S4 | GGA-PBE | optimized geometry

POSCAR file:
```
NaAc2S4
1.0
7.4462 0.0000 -0.0706
0.0000 5.7518 0.0000
-2.8210 0.0000 8.4507
S Ac Na
8 4 2
Direct
0.0600 0.7500 0.3947
0.4723 0.5168 0.7503
0.5277 0.0168 0.2497
0.9662 0.2500 0.1180
0.9400 0.2500 0.6053
0.4723 0.9832 0.7503
0.5277 0.4832 0.2497
0.0338 0.7500 0.8820
0.2246 0.2500 0.4479
0.2472 0.2500 0.9294
0.7528 0.7500 0.0706
0.7754 0.7500 0.5521
0.2296 0.7500 0.1826
0.7704 0.2500 0.8174
```

Summary:
Crystal system ... monoclinic
Electronic total energy ... -75.3 eV/cell
Space group ... No. 11
E_form (uncorrected) ... -1657.8 meV per atom

Y4ZnSe2 | GGA-PBE | optimized geometry

POSCAR file:
```
Y4ZnSe2
1.0
3.8566 0.0000 -1.0068
-0.7592 6.3859 -2.9081
-0.0412 -0.4810 7.7320
Zn Se Y
1 2 4
Direct
0.0000 0.0000 0.0000
0.2437 0.2549 0.4874
0.7563 0.7451 0.5126
0.3775 0.0714 0.7551
0.6225 0.9286 0.2449
0.8842 0.5329 0.7684
0.1158 0.4671 0.2316
```

Summary:
Crystal system ... monoclinic
Electronic total energy ... -41.4 eV/cell
Space group ... No. 12
E_form (uncorrected) ... -1048.0 meV per atom

LiGeCl | GGA-PBE | optimized geometry

POSCAR file:
```
LiGeCl
1.0
-2.7038 -0.5401 -2.2501
2.1857 -6.6923 -1.0199
-6.6213 -2.9778 8.6711
Cl Ge Li
4 4 4
Direct
0.2500 0.6172 0.3788
0.7500 0.3828 0.6212
0.7500 0.8828 0.6212
0.2500 0.1172 0.3788
0.7500 0.6231 0.9713
0.7500 0.1231 0.9713
0.2500 0.8769 0.0287
0.2500 0.3769 0.0287
0.7500 0.8690 0.4019
0.2500 0.1310 0.5981
0.7500 0.3690 0.4019
0.2500 0.6310 0.5981
```

Summary:
Crystal system ... monoclinic
Electronic total energy ... -44.9 eV/cell
Space group ... No. 11
E_form (uncorrected) ... -951.8 meV per atom